Record 1
First-principles (PBE-GGA) data for a relaxed structure of Cd6InHg, as listed in the Alexandria database.

Lattice parameters (Å, degrees): 4.528 4.528 9.063 90.00 90.00 90.00
Space group P4/mmm (No. 123)
One atom of each set of equivalent atoms:
Cd  0.000  0.000  0.000
Cd  0.000  0.000  0.500
Cd  0.000  0.500  0.248
In  0.500  0.500  0.500
Hg  0.500  0.500  0.000

Results
Magnetic moment (μB per cell): 0.00
DOS(E_F) (states/eV per cell): 2.88

Record 2
First-principles (PBE-GGA) data for a relaxed structure of Cd7In6Hg16, as listed in the Alexandria database.

Lattice parameters (Å, degrees): 14.538 14.538 14.538 90.00 90.00 90.00
Space group Fm-3m (No. 225)
One atom of each set of equivalent atoms:
Cd  0.000  0.000  0.000
Cd  0.000  0.250  0.250
In  0.000  0.000  0.233
Hg  0.116  0.116  0.384
Hg  0.142  0.142  0.142

Results
Magnetic moment (μB per cell): 0.00
DOS(E_F) (states/eV per cell): 48.60

Record 3
First-principles (PBE-GGA) data for a relaxed structure of Cd2In2Hg3, as listed in the Alexandria database.

Lattice parameters (Å, degrees): 8.968 8.968 8.968 90.00 90.00 90.00
Space group I2_13 (No. 199)
One atom of each set of equivalent atoms:
Cd  0.077  0.423  0.577
In  0.165  0.165  0.165
Hg  0.000  0.250  0.862

Results
Magnetic moment (μB per cell): 0.00
Excess energy over the best structure of this formula in the dataset (meV/atom): 0
DOS(E_F) (states/eV per cell): 10.01

Record 4
First-principles (PBE-GGA) data for a relaxed structure of Cd3In2Hg2, as listed in the Alexandria database.

Lattice parameters (Å, degrees): 3.303 7.280 7.732 108.84 93.25 97.31
Space group P-1 (No. 2)
One atom of each set of equivalent atoms:
Cd  0.000  0.000  0.000
Cd  0.280  0.575  0.862
In  0.158  0.281  0.429
Hg  0.430  0.849  0.275

Results
Magnetic moment (μB per cell): 0.00
Excess energy over the best structure of this formula in the dataset (meV/atom): 0
DOS(E_F) (states/eV per cell): 1.93

Number 1: ΔH_f (0 K) 0.027 eV per atom. Number 2: ΔH_f (0 K) 0.025 eV per atom. Number 3: ΔH_f (0 K) 0.021 eV per atom. Number 4: ΔH_f (0 K) 0.021 eV per atom.